[1]
# Ba2TcTe

An optimized crystal structure of Ba2TcTe (PBEsol, Alexandria via LeMat-Bulk).

Structure (CIF):
```
data_Ba2TcTe
_chemical_formula_sum 'Ba4 Tc2 Te2'
_symmetry_space_group_name_H-M 'I m m m'
_symmetry_Int_Tables_number 71
_symmetry_space_group_name_Hall '-I 2 2'
_cell_length_a 5.661
_cell_length_b 5.828
_cell_length_c 8.065
_cell_angle_alpha 90.00
_cell_angle_beta 90.00
_cell_angle_gamma 90.00
loop_
_atom_site_label
_atom_site_fract_x
_atom_site_fract_y
_atom_site_fract_z
Ba1 0.000 0.000 0.245
Tc1 0.000 0.500 0.500
Te1 0.000 0.500 0.000
```

Output
Energy above the most stable polymorph in this dataset = 0.000 eV per atom
Uncorrected energy = -4.552 eV per atom
Formation energy from raw total energies = 0.88 eV per formula unit
D(E_F) = 12.254 states/eV per cell

[2]
# LiYMn2

An optimized crystal structure of LiYMn2 (PBEsol, Alexandria via LeMat-Bulk).

Structure (CIF):
```
data_LiYMn2
_chemical_formula_sum 'Li2 Y2 Mn4'
_symmetry_space_group_name_H-M 'I m m m'
_symmetry_Int_Tables_number 71
_symmetry_space_group_name_Hall '-I 2 2'
_cell_length_a 3.325
_cell_length_b 4.558
_cell_length_c 8.933
_cell_angle_alpha 90.00
_cell_angle_beta 90.00
_cell_angle_gamma 90.00
loop_
_atom_site_label
_atom_site_fract_x
_atom_site_fract_y
_atom_site_fract_z
Li1 0.000 0.000 0.000
Y1 0.000 0.000 0.500
Mn1 0.000 0.500 0.267
```

Output
DFT formation energy = 0.533 eV/atom
Energy above the most stable polymorph in this dataset = 0.000 eV per atom
Uncorrected energy = -6.545 eV per atom
D(E_F) = 8.542 states/eV per cell

[3]
# LaTeIr2

An optimized crystal structure of LaTeIr2 (PBEsol, Alexandria via LeMat-Bulk).

Structure (CIF):
```
data_LaTeIr2
_chemical_formula_sum 'La4 Te4 Ir8'
_symmetry_space_group_name_H-M 'I -4 2 d'
_symmetry_Int_Tables_number 122
_symmetry_space_group_name_Hall 'I -4 2bw'
_cell_length_a 4.816
_cell_length_b 4.816
_cell_length_c 17.366
_cell_angle_alpha 90.00
_cell_angle_beta 90.00
_cell_angle_gamma 90.00
loop_
_atom_site_label
_atom_site_fract_x
_atom_site_fract_y
_atom_site_fract_z
La1 0.000 0.000 0.000
Te1 0.000 0.000 0.500
Ir1 0.093 0.250 0.625
```

Output
Uncorrected energy = -7.227 eV per atom
Formation energy from raw total energies = -0.39 eV per formula unit
D(E_F) = 11.283 states/eV per cell

[4]
# Sm5Ru2

An optimized crystal structure of Sm5Ru2 (PBEsol, Alexandria via LeMat-Bulk).

Structure (CIF):
```
data_Sm5Ru2
_chemical_formula_sum 'Sm20 Ru8'
_symmetry_space_group_name_H-M 'C 1 2/c 1'
_symmetry_Int_Tables_number 15
_symmetry_space_group_name_Hall '-C 2yc'
_cell_length_a 15.913
_cell_length_b 6.386
_cell_length_c 7.215
_cell_angle_alpha 90.00
_cell_angle_beta 97.00
_cell_angle_gamma 90.00
loop_
_atom_site_label
_atom_site_fract_x
_atom_site_fract_y
_atom_site_fract_z
Sm1 0.000 0.079 0.250
Sm2 0.093 0.386 0.915
Sm3 0.217 0.077 0.311
Ru1 0.111 0.212 0.574
```

Output
DFT formation energy = -0.221 eV/atom
Uncorrected energy = -6.765 eV per atom
D(E_F) = 21.532 states/eV per cell

[5]
# Y2ScZn2

An optimized crystal structure of Y2ScZn2 (PBEsol, Alexandria via LeMat-Bulk).

Structure (CIF):
```
data_Y2ScZn2
_chemical_formula_sum 'Y4 Sc2 Zn4'
_symmetry_space_group_name_H-M 'P 4/m b m'
_symmetry_Int_Tables_number 127
_symmetry_space_group_name_Hall '-P 4 2ab'
_cell_length_a 7.866
_cell_length_b 7.866
_cell_length_c 3.686
_cell_angle_alpha 90.00
_cell_angle_beta 90.00
_cell_angle_gamma 90.00
loop_
_atom_site_label
_atom_site_fract_x
_atom_site_fract_y
_atom_site_fract_z
Y1 0.170 0.330 0.000
Sc1 0.000 0.000 0.500
Zn1 0.127 0.627 0.500
```

Output
DFT formation energy = -0.235 eV/atom
Uncorrected energy = -4.917 eV per atom
D(E_F) = 10.528 states/eV per cell

[6]
# YTlIn2

An optimized crystal structure of YTlIn2 (PBEsol, Alexandria via LeMat-Bulk).

Structure (CIF):
```
data_YTlIn2
_chemical_formula_sum 'Y2 Tl2 In4'
_symmetry_space_group_name_H-M 'C m m m'
_symmetry_Int_Tables_number 65
_symmetry_space_group_name_Hall '-C 2 2'
_cell_length_a 6.430
_cell_length_b 8.667
_cell_length_c 3.647
_cell_angle_alpha 90.00
_cell_angle_beta 90.00
_cell_angle_gamma 90.00
loop_
_atom_site_label
_atom_site_fract_x
_atom_site_fract_y
_atom_site_fract_z
Y1 0.000 0.000 0.000
Tl1 0.000 0.500 0.000
In1 0.250 0.250 0.500
```

Output
DFT formation energy = -0.324 eV/atom
Uncorrected energy = -4.179 eV per atom
D(E_F) = 3.545 states/eV per cell

[7]
# BaZnTc3

An optimized crystal structure of BaZnTc3 (PBEsol, Alexandria via LeMat-Bulk).

Structure (CIF):
```
data_BaZnTc3
_chemical_formula_sum 'Ba1 Zn1 Tc3'
_symmetry_space_group_name_H-M 'P m -3 m'
_symmetry_Int_Tables_number 221
_symmetry_space_group_name_Hall '-P 4 2 3'
_cell_length_a 4.693
_cell_length_b 4.693
_cell_length_c 4.693
_cell_angle_alpha 90.00
_cell_angle_beta 90.00
_cell_angle_gamma 90.00
loop_
_atom_site_label
_atom_site_fract_x
_atom_site_fract_y
_atom_site_fract_z
Ba1 0.000 0.000 0.000
Zn1 0.500 0.500 0.500
Tc1 0.000 0.500 0.500
```

Output
DFT formation energy = 1.673 eV/atom
Uncorrected energy = -5.833 eV per atom
D(E_F) = 9.013 states/eV per cell

[8]
# AlTl2AsP

An optimized crystal structure of AlTl2AsP (PBEsol, Alexandria via LeMat-Bulk).

Structure (CIF):
```
data_AlTl2AsP
_chemical_formula_sum 'Al1 Tl2 As1 P1'
_symmetry_space_group_name_H-M 'P 4/m m m'
_symmetry_Int_Tables_number 123
_symmetry_space_group_name_Hall '-P 4 2'
_cell_length_a 5.347
_cell_length_b 5.347
_cell_length_c 4.809
_cell_angle_alpha 90.00
_cell_angle_beta 90.00
_cell_angle_gamma 90.00
loop_
_atom_site_label
_atom_site_fract_x
_atom_site_fract_y
_atom_site_fract_z
Al1 0.000 0.000 0.000
Tl1 0.000 0.500 0.500
As1 0.000 0.000 0.500
P1 0.500 0.500 0.000
```

Output
DFT formation energy = 0.732 eV/atom
Uncorrected energy = -3.318 eV per atom
D(E_F) = 2.327 states/eV per cell